{
  "formula": "Y2ScHg",
  "functional": "PBE-GGA",
  "state": "optimized geometry",
  "lattice_angstrom": [[1.7745, 1.0245, 10.3033], [-1.7745, 1.0245, 10.3033], [0.0000, -2.0491, 10.3033]],
  "species": ["Y", "Y", "Sc", "Hg"],
  "frac_coords": [[0.0000, 0.0000, 0.0000], [0.2390, 0.2390, 0.2390], [0.4839, 0.4839, 0.4839], [0.7458, 0.7458, 0.7458]],
  "spacegroup": "R3m (160)",
  "total_energy_ev_per_atom": -5.016,
  "e_form_ev_per_atom": -0.126,
  "n_ef_per_ev_atom": 1.070
}